[1]
MnCoPt2, optimized geometry, DFT GGA-PBE; spin magnetization = 1.440 μB per atom; D(E_F) = 4.58 states/eV per cell; total energy = -28.60 eV per formula unit; calculated volume = 14.224 Å³ per atom; ΔE_f = -62 meV per atom
1.0
-0.864 7.646 -4.265
-3.486 6.802 -4.356
-2.547 8.144 -2.141
Co Mn Pt
1 1 2
Cartesian
-3.475 11.381 -5.421
-1.692 5.541 -2.639
-6.861 22.474 -10.706
-5.216 17.085 -8.139

***

[2]
ZnCu2Ni, optimized geometry, DFT GGA-PBE; spin magnetization = 0.000 μB per atom; D(E_F) = 1.42 states/eV per cell; total energy = -15.40 eV per formula unit; calculated volume = 12.120 Å³ per atom; ΔE_f = -39 meV per atom
1.0
-6.906 -4.448 -2.414
-6.833 -5.158 0.061
-8.008 -2.967 -0.616
Cu Ni Zn
2 1 1
Cartesian
-0.065 -0.037 -0.009
-10.809 -6.249 -1.476
-16.310 -9.430 -2.227
-5.437 -3.143 -0.742